1.
A plane-wave DFT calculation with PBE was carried out for an optimized crystal structure of Sm2PuInN.

Cell and atoms, written as POSCAR:
```
Sm2PuInN
1.0
5.024 0.000 0.000
0.000 5.024 0.000
0.000 0.000 4.707
Sm Pu In N
2 1 1 1
direct
0.000 0.500 0.000
0.500 0.000 0.000
0.000 0.000 0.500
0.500 0.500 0.500
0.000 0.000 0.000
```

DFT total energy in eV/f.u.: -38.72
ΔE_f (raw) in meV/atom: -776
Crystal system: tetragonal
DOS at the Fermi energy in states/eV/cell: 7.57
Total moment in μB per atom: 1.1241

---

2.
A plane-wave DFT calculation with PBE was carried out for an optimized crystal structure of Sr2TbGeS5.

Cell and atoms, written as POSCAR:
```
Sr2TbGeS5
1.0
2.102 -8.800 0.000
2.102 8.800 0.000
0.000 0.000 12.132
Sr Tb Ge S
4 2 2 10
direct
0.117 0.883 0.500
0.124 0.876 0.143
0.876 0.124 0.643
0.883 0.117 0.000
0.207 0.793 0.844
0.793 0.207 0.344
0.447 0.553 0.258
0.553 0.447 0.758
0.043 0.957 0.843
0.295 0.705 0.490
0.319 0.681 0.189
0.357 0.643 0.824
0.498 0.502 0.588
0.502 0.498 0.088
0.643 0.357 0.324
0.681 0.319 0.689
0.705 0.295 0.990
0.957 0.043 0.343
```

DFT total energy in eV/f.u.: -47.66
ΔE_f (raw) in meV/atom: -1602
Crystal system: orthorhombic
DOS at the Fermi energy in states/eV/cell: 2.75
Total moment in μB per atom: 0.0000

---

3.
A plane-wave DFT calculation with PBE was carried out for an optimized crystal structure of MoSeBrN2.

Cell and atoms, written as POSCAR:
```
MoSeBrN2
1.0
3.936 0.000 0.000
0.000 3.936 0.000
0.000 0.000 5.515
Mo Se Br N
1 1 1 2
direct
0.000 0.000 0.000
0.000 0.000 0.500
0.500 0.500 0.500
0.000 0.500 0.000
0.500 0.000 0.000
```

Relative energy among the computed polymorphs in eV per formula unit: 0.00
DFT total energy in eV/f.u.: -29.91
ΔE_f (raw) in meV/atom: 546
Crystal system: tetragonal
DOS at the Fermi energy in states/eV/cell: 1.70
Total moment in μB per atom: 0.1640

---

4.
A plane-wave DFT calculation with PBE was carried out for an optimized crystal structure of Ac2Tl2Pd.

Cell and atoms, written as POSCAR:
```
Ac2Tl2Pd
1.0
6.427 -2.117 0.000
6.427 2.117 0.000
-6.242 0.000 11.872
Ac Tl Pd
4 4 2
direct
0.078 0.078 0.360
0.201 0.201 0.118
0.799 0.799 0.882
0.922 0.922 0.640
0.379 0.379 0.400
0.470 0.470 0.112
0.530 0.530 0.888
0.621 0.621 0.600
0.285 0.285 0.704
0.715 0.715 0.296
```

DFT total energy in eV/f.u.: -20.59
DFT formation energy in meV per atom: -490
Crystal system: monoclinic
DOS at the Fermi energy in states/eV/cell: 7.33
Total moment in μB per atom: 0.0000

---

Copy entry 2 word for word.
A plane-wave DFT calculation with PBE was carried out for an optimized crystal structure of Sr2TbGeS5.

Cell and atoms, written as POSCAR:
```
Sr2TbGeS5
1.0
2.102 -8.800 0.000
2.102 8.800 0.000
0.000 0.000 12.132
Sr Tb Ge S
4 2 2 10
direct
0.117 0.883 0.500
0.124 0.876 0.143
0.876 0.124 0.643
0.883 0.117 0.000
0.207 0.793 0.844
0.793 0.207 0.344
0.447 0.553 0.258
0.553 0.447 0.758
0.043 0.957 0.843
0.295 0.705 0.490
0.319 0.681 0.189
0.357 0.643 0.824
0.498 0.502 0.588
0.502 0.498 0.088
0.643 0.357 0.324
0.681 0.319 0.689
0.705 0.295 0.990
0.957 0.043 0.343
```

DFT total energy in eV/f.u.: -47.66
ΔE_f (raw) in meV/atom: -1602
Crystal system: orthorhombic
DOS at the Fermi energy in states/eV/cell: 2.75
Total moment in μB per atom: 0.0000